Entry 1:
Compound: Zr3AlNi3
Source: the Alexandria database
Functional: GGA-PBE
Structure: optimized geometry

abc: 7.7843 7.7843 4.4716
angles: 90.00 90.00 120.00
Closest atoms and distances in Å follow each position.
Atoms (fractional coordinates):
1 Zr 0.0919 0.4239 0.2500  4 Ni 2.56-2.71
2 Zr 0.3320 0.9081 0.2500  4 Ni 2.56-2.71
3 Zr 0.4239 0.3320 0.7500  4 Ni 2.56-2.71
4 Zr 0.5761 0.6680 0.2500  4 Ni 2.56-2.71
5 Zr 0.6680 0.0919 0.7500  4 Ni 2.56-2.71
6 Zr 0.9081 0.5761 0.7500  4 Ni 2.56-2.71
7 Al 0.3333 0.6667 0.7500  9 Zr 2.92-3.02, 3 Ni 3.15
8 Al 0.6667 0.3333 0.2500  9 Zr 2.92-3.02, 3 Ni 3.15
9 Ni 0.0394 0.2059 0.7500  6 Ni 2.55-2.68, 4 Zr 2.56-2.71
10 Ni 0.1665 0.9606 0.7500  6 Ni 2.55-2.68, 4 Zr 2.56-2.71
11 Ni 0.2059 0.1665 0.2500  6 Ni 2.55-2.68, 4 Zr 2.56-2.71
12 Ni 0.7941 0.8335 0.7500  6 Ni 2.55-2.68, 4 Zr 2.56-2.71
13 Ni 0.8335 0.0394 0.2500  6 Ni 2.55-2.68, 4 Zr 2.56-2.71
14 Ni 0.9606 0.7941 0.2500  6 Ni 2.55-2.68, 4 Zr 2.56-2.71

Magnetization   0.00 μB per formula unit
Distance to the lowest polymorph of the same formula   3 meV/atom


Entry 2:
Compound: Zr2AlNi
Source: the Alexandria database
Functional: GGA-PBE
Structure: optimized geometry

abc: 4.6519 4.6519 8.5087
angles: 90.00 90.00 120.00
Closest atoms and distances in Å follow each position.
Atoms (fractional coordinates):
1 Zr 0.3333 0.6667 0.0931  1 Zr 2.67, 3 Al 2.80, 1 Ni 2.92
2 Zr 0.3333 0.6667 0.4069  1 Zr 2.67, 3 Al 2.80, 1 Ni 2.92
3 Zr 0.6667 0.3333 0.5931  1 Zr 2.67, 3 Al 2.80, 1 Ni 2.92
4 Zr 0.6667 0.3333 0.9069  1 Zr 2.67, 3 Al 2.80, 1 Ni 2.92
5 Al 0.0000 0.0000 0.0000  6 Zr 2.80
6 Al 0.0000 0.0000 0.5000  6 Zr 2.80
7 Ni 0.3333 0.6667 0.7500  8 Zr 2.92-3.00
8 Ni 0.6667 0.3333 0.2500  8 Zr 2.92-3.00

Magnetization   0.00 μB per formula unit


Entry 3:
Compound: Zr8AlNi2
Source: the Alexandria database
Functional: GGA-PBE
Structure: optimized geometry

abc: 4.2975 4.2975 12.4618
angles: 90.00 90.00 90.00
Closest atoms and distances in Å follow each position.
Atoms (fractional coordinates):
1 Zr 0.0000 0.0000 0.1734  4 Ni 3.04, 8 Zr 3.05
2 Zr 0.0000 0.0000 0.8266  4 Ni 3.04, 8 Zr 3.05
3 Zr 0.0000 0.5000 0.0000  4 Ni 3.01, 8 Zr 3.04-3.05
4 Zr 0.0000 0.5000 0.3473  2 Al 2.87, 6 Zr 3.04-3.05, 2 Ni 3.09
5 Zr 0.0000 0.5000 0.6527  2 Al 2.87, 6 Zr 3.04-3.05, 2 Ni 3.09
6 Zr 0.5000 0.0000 0.0000  4 Ni 3.01, 8 Zr 3.04-3.05
7 Zr 0.5000 0.0000 0.3473  2 Al 2.87, 6 Zr 3.04-3.05, 2 Ni 3.09
8 Zr 0.5000 0.0000 0.6527  2 Al 2.87, 6 Zr 3.04-3.05, 2 Ni 3.09
9 Al 0.5000 0.5000 0.5000  8 Zr 2.87
10 Ni 0.5000 0.5000 0.1697  12 Zr 3.01-3.09
11 Ni 0.5000 0.5000 0.8303  12 Zr 3.01-3.09

Magnetization   0.00 μB per formula unit


Entry 4:
Compound: NpAl6
Source: the Alexandria database
Functional: GGA-PBE
Structure: optimized geometry

abc: 7.1104 7.1104 7.1104
angles: 90.00 90.00 90.00
Closest atoms and distances in Å follow each position.
Atoms (fractional coordinates):
1 Np 0.0000 0.0000 0.0000  24 Al 3.97
2 Np 0.5000 0.5000 0.5000  24 Al 3.97
3 Al 0.0000 0.2500 0.5000  4 Al 2.51
4 Al 0.0000 0.5000 0.2500  4 Al 2.51
5 Al 0.0000 0.5000 0.7500  4 Al 2.51
6 Al 0.0000 0.7500 0.5000  4 Al 2.51
7 Al 0.2500 0.0000 0.5000  4 Al 2.51
8 Al 0.2500 0.5000 0.0000  4 Al 2.51
9 Al 0.5000 0.0000 0.2500  4 Al 2.51
10 Al 0.5000 0.0000 0.7500  4 Al 2.51
11 Al 0.5000 0.2500 0.0000  4 Al 2.51
12 Al 0.5000 0.7500 0.0000  4 Al 2.51
13 Al 0.7500 0.0000 0.5000  4 Al 2.51
14 Al 0.7500 0.5000 0.0000  4 Al 2.51

Magnetization   4.25 μB per formula unit


Number 1: volume 234.6 Å³ per cell, density of states at the Fermi level 14.132 states/eV per cell, energy of formation -0.31 eV per atom. Number 2: volume 159.5 Å³ per cell, density of states at the Fermi level 8.214 states/eV per cell, energy of formation 0.25 eV per atom. Number 3: volume 230.2 Å³ per cell, density of states at the Fermi level 15.959 states/eV per cell, energy of formation 0.07 eV per atom. Number 4: volume 359.5 Å³ per cell, density of states at the Fermi level 22.317 states/eV per cell, energy of formation 0.70 eV per atom.